(1)
Computed, not measured: a geometry-optimized KPdO2 structure at the GGA-PBE level of DFT.

**Energy**: -77.86 eV per cell
**N(E_F)**: 3.56 states/eV/f.u.
**Space group**: No. 62
**Spin magnetization**: 0.7 μB per formula unit

Lattice parameters (Å, degrees): 13.068 3.077 6.718 90.00 90.00 90.00
Sites, in units of the cell vectors:
K (0.135, 0.250, 0.146)
K (0.365, 0.750, 0.646)
K (0.635, 0.250, 0.354)
K (0.865, 0.750, 0.854)
Pd (0.111, 0.750, 0.656)
Pd (0.389, 0.250, 0.156)
Pd (0.611, 0.750, 0.844)
Pd (0.889, 0.250, 0.344)
O (0.032, 0.250, 0.768)
O (0.193, 0.250, 0.551)
O (0.307, 0.750, 0.051)
O (0.468, 0.750, 0.268)
O (0.532, 0.250, 0.732)
O (0.693, 0.250, 0.949)
O (0.807, 0.750, 0.449)
O (0.968, 0.750, 0.232)


(2)
Computed, not measured: a geometry-optimized PrPd4Rh structure at the GGA-PBE level of DFT.

**Energy of formation**: -29.0 kJ/mol of atoms
**N(E_F)**: 9.13 states/eV/f.u.
**Space group**: No. 216
**Spin magnetization**: 0.0 μB per formula unit

Lattice parameters (Å, degrees): 5.345 5.345 5.345 60.00 60.00 60.00
Sites, in units of the cell vectors:
Pr (0.000, 0.000, 0.000)
Pd (0.127, 0.624, 0.624)
Pd (0.624, 0.127, 0.624)
Pd (0.624, 0.624, 0.127)
Pd (0.624, 0.624, 0.624)
Rh (0.250, 0.250, 0.250)


(3)
Computed, not measured: a geometry-optimized RbAsPtAu structure at the GGA-PBE level of DFT.

**Energy of formation**: -27.7 kJ/mol of atoms
**N(E_F)**: 3.58 states/eV/f.u.
**Space group**: No. 129
**Spin magnetization**: 0.0 μB per formula unit

Lattice parameters (Å, degrees): 4.134 4.134 12.628 90.00 90.00 90.00
Sites, in units of the cell vectors:
Rb (0.250, 0.250, 0.227)
Rb (0.750, 0.750, 0.773)
As (0.250, 0.250, 0.613)
As (0.750, 0.750, 0.387)
Pt (0.250, 0.750, 0.500)
Pt (0.750, 0.250, 0.500)
Au (0.250, 0.750, 0.000)
Au (0.750, 0.250, 0.000)


- Among the records above, which one has the lowest N(E_F)?
  KPdO2


- Which value of spin magnetization does entry 2 give?
  0.0 μB per formula unit


Copy entry 2 word for word.
Computed, not measured: a geometry-optimized PrPd4Rh structure at the GGA-PBE level of DFT.

**Energy of formation**: -29.0 kJ/mol of atoms
**N(E_F)**: 9.13 states/eV/f.u.
**Space group**: No. 216
**Spin magnetization**: 0.0 μB per formula unit

Lattice parameters (Å, degrees): 5.345 5.345 5.345 60.00 60.00 60.00
Sites, in units of the cell vectors:
Pr (0.000, 0.000, 0.000)
Pd (0.127, 0.624, 0.624)
Pd (0.624, 0.127, 0.624)
Pd (0.624, 0.624, 0.127)
Pd (0.624, 0.624, 0.624)
Rh (0.250, 0.250, 0.250)